## a
## ReTc2Cl (GGA-PBE)

Data for crystalline ReTc2Cl at its relaxed geometry.

abc: 5.2165 5.2165 5.2165
angles: 147.86 129.66 60.99
Element x y z (fractional)
Re: 0.0000 0.0000 0.0000
Tc: 0.2678 0.7678 0.5000
Tc: 0.5422 0.5422 0.0000
Cl: 0.7682 0.2682 0.5000

Calculated values
Total moment in Bohr magnetons per cell: 0.00



## b
## ReTc2Cl (GGA-PBE)

Data for crystalline ReTc2Cl at its relaxed geometry.

abc: 4.9526 4.9526 2.8801
angles: 100.78 100.78 114.68
Element x y z (fractional)
Re: 0.0000 0.0000 0.0000
Tc: 0.0000 0.5000 0.5000
Tc: 0.5000 0.0000 0.5000
Cl: 0.5000 0.5000 0.0000

Calculated values
Total moment in Bohr magnetons per cell: 0.00



Most stable: a. Least stable: b.



## a
## ReTcCl3 (GGA-PBE)

Data for crystalline ReTcCl3 at its relaxed geometry.

abc: 4.9937 4.9937 4.9937
angles: 90.00 90.00 90.00
Element x y z (fractional)
Re: 0.0000 0.0000 0.0000
Tc: 0.5000 0.5000 0.5000
Cl: 0.0000 0.5000 0.5000
Cl: 0.5000 0.0000 0.5000
Cl: 0.5000 0.5000 0.0000

Calculated values
Total moment in Bohr magnetons per cell: 8.97



## b
## ReTcCl3 (GGA-PBE)

Data for crystalline ReTcCl3 at its relaxed geometry.

abc: 4.8520 4.8520 4.8520
angles: 90.00 90.00 90.00
Element x y z (fractional)
Re: 0.0000 0.0000 0.0000
Tc: 0.5000 0.5000 0.5000
Cl: 0.0000 0.0000 0.5000
Cl: 0.0000 0.5000 0.0000
Cl: 0.5000 0.0000 0.0000

Calculated values
Total moment in Bohr magnetons per cell: 6.84



Most stable: a. Least stable: b.



## a
## Re2TeCl (GGA-PBE)

Data for crystalline Re2TeCl at its relaxed geometry.

abc: 4.4691 4.4691 5.4235
angles: 101.11 101.11 40.07
Element x y z (fractional)
Re: 0.2480 0.2480 0.2843
Re: 0.7520 0.7520 0.7157
Te: 0.5000 0.5000 0.0000
Cl: 0.0000 0.0000 0.5000

Calculated values
Total moment in Bohr magnetons per cell: 0.00



## b
## Re2TeCl (GGA-PBE)

Data for crystalline Re2TeCl at its relaxed geometry.

abc: 3.1144 3.0029 9.1787
angles: 90.00 90.35 90.00
Element x y z (fractional)
Re: 0.0000 0.0000 0.0000
Re: 0.4971 0.5000 0.8407
Te: 0.0033 0.5000 0.2533
Cl: 0.4928 0.0000 0.6283

Calculated values
Total moment in Bohr magnetons per cell: 0.00



## c
## Re2TeCl (GGA-PBE)

Data for crystalline Re2TeCl at its relaxed geometry.

abc: 6.9519 6.9519 6.9519
angles: 133.51 133.51 67.86
Element x y z (fractional)
Re: 0.0666 0.6250 0.9416
Re: 0.3750 0.3166 0.4416
Re: 0.6834 0.1250 0.0584
Re: 0.8750 0.9334 0.5584
Te: 0.2500 0.7500 0.5000
Te: 0.5000 0.5000 0.0000
Cl: 0.0000 0.0000 0.0000
Cl: 0.7500 0.2500 0.5000

Calculated values
Total moment in Bohr magnetons per cell: 0.00



## d
## Re2TeCl (GGA-PBE)

Data for crystalline Re2TeCl at its relaxed geometry.

abc: 2.9811 2.9811 9.2892
angles: 90.00 90.00 121.08
Element x y z (fractional)
Re: 0.0000 0.0000 0.2370
Re: 0.0000 0.0000 0.7630
Te: 0.5000 0.5000 0.5000
Cl: 0.5000 0.5000 0.0000

Calculated values
Total moment in Bohr magnetons per cell: 0.00



Most stable: b. Least stable: c.



## a
## ReTeCl (GGA-PBE)

Data for crystalline ReTeCl at its relaxed geometry.

abc: 4.4571 4.4571 4.4571
angles: 60.00 60.00 60.00
Element x y z (fractional)
Re: 0.0000 0.0000 0.0000
Te: 0.2500 0.2500 0.2500
Cl: 0.7500 0.7500 0.7500

Calculated values
Total moment in Bohr magnetons per cell: 0.00



## b
## ReTeCl (GGA-PBE)

Data for crystalline ReTeCl at its relaxed geometry.

abc: 7.6693 7.6693 7.6693
angles: 154.65 154.65 36.15
Element x y z (fractional)
Re: 0.0000 0.0000 0.0000
Te: 0.4101 0.4101 0.0000
Cl: 0.1552 0.1552 0.0000

Calculated values
Total moment in Bohr magnetons per cell: 1.18



## c
## ReTeCl (GGA-PBE)

Data for crystalline ReTeCl at its relaxed geometry.

abc: 8.3592 8.0375 3.2005
angles: 84.46 73.14 22.40
Element x y z (fractional)
Re: 0.0000 0.0000 0.0000
Te: 0.3610 0.3610 0.6390
Cl: 0.6203 0.6203 0.3797

Calculated values
Total moment in Bohr magnetons per cell: 0.93



## d
## ReTeCl (GGA-PBE)

Data for crystalline ReTeCl at its relaxed geometry.

abc: 3.3516 3.3516 7.4285
angles: 90.00 90.00 120.00
Element x y z (fractional)
Re: 0.0000 0.0000 0.0000
Te: 0.3333 0.6667 0.2413
Cl: 0.6667 0.3333 0.7566

Calculated values
Total moment in Bohr magnetons per cell: 0.00



Most stable: d. Least stable: c.



## a
## Re3TeCl (GGA-PBE)

Data for crystalline Re3TeCl at its relaxed geometry.

abc: 4.4636 4.4636 4.4636
angles: 90.00 90.00 90.00
Element x y z (fractional)
Re: 0.0000 0.0000 0.5000
Re: 0.0000 0.5000 0.0000
Re: 0.5000 0.0000 0.0000
Te: 0.5000 0.5000 0.5000
Cl: 0.0000 0.0000 0.0000

Calculated values
Total moment in Bohr magnetons per cell: 0.45



## b
## Re3TeCl (GGA-PBE)

Data for crystalline Re3TeCl at its relaxed geometry.

abc: 4.9552 4.9552 4.9552
angles: 90.00 90.00 90.00
Element x y z (fractional)
Re: 0.0000 0.0000 0.5000
Re: 0.0000 0.5000 0.0000
Re: 0.5000 0.0000 0.0000
Te: 0.0000 0.0000 0.0000
Cl: 0.5000 0.5000 0.5000

Calculated values
Total moment in Bohr magnetons per cell: 4.14



Most stable: a. Least stable: b.



## a
## ReTe2Cl12 (GGA-PBE)

Data for crystalline ReTe2Cl12 at its relaxed geometry.

abc: 6.7607 7.2224 11.5489
angles: 72.34 88.11 63.08
Element x y z (fractional)
Re: 0.0000 0.0000 0.0000
Te: 0.2633 0.4935 0.7629
Te: 0.7367 0.5065 0.2371
Cl: 0.0146 0.2299 0.8070
Cl: 0.0258 0.2840 0.4017
Cl: 0.0523 0.2223 0.0978
Cl: 0.3941 0.7837 0.0193
Cl: 0.4308 0.7256 0.7079
Cl: 0.4863 0.2599 0.6550
Cl: 0.5137 0.7401 0.3450
Cl: 0.5692 0.2744 0.2921
Cl: 0.6059 0.2163 0.9807
Cl: 0.9477 0.7777 0.9022
Cl: 0.9742 0.7160 0.5983
Cl: 0.9854 0.7701 0.1930

Calculated values
Total moment in Bohr magnetons per cell: 3.00



## b
## ReTe2Cl12 (GGA-PBE)

Data for crystalline ReTe2Cl12 at its relaxed geometry.

abc: 14.4008 14.4008 14.4008
angles: 47.79 47.79 47.79
Element x y z (fractional)
Re: 0.0000 0.0000 0.0000
Re: 0.2518 0.2518 0.2518
Re: 0.7482 0.7482 0.7482
Te: 0.0975 0.7520 0.3972
Te: 0.2480 0.6028 0.9025
Te: 0.3972 0.0975 0.7520
Te: 0.6028 0.9025 0.2480
Te: 0.7520 0.3972 0.0975
Te: 0.9025 0.2480 0.6028
Cl: 0.0538 0.7720 0.0678
Cl: 0.0678 0.0538 0.7720
Cl: 0.0959 0.3779 0.3901
Cl: 0.1062 0.7510 0.7831
Cl: 0.1163 0.4084 0.1232
Cl: 0.1232 0.1163 0.4084
Cl: 0.2124 0.6016 0.5425
Cl: 0.2169 0.8938 0.2490
Cl: 0.2280 0.9322 0.9462
Cl: 0.2406 0.6080 0.2825
Cl: 0.2490 0.2169 0.8938
Cl: 0.2825 0.2406 0.6080
Cl: 0.3779 0.3901 0.0959
Cl: 0.3901 0.0959 0.3779
Cl: 0.3920 0.7175 0.7594
Cl: 0.3984 0.4575 0.7876
Cl: 0.4084 0.1232 0.1163
Cl: 0.4575 0.7876 0.3984
Cl: 0.5425 0.2124 0.6016
Cl: 0.5916 0.8768 0.8837
Cl: 0.6016 0.5425 0.2124
Cl: 0.6080 0.2825 0.2406
Cl: 0.6099 0.9041 0.6221
Cl: 0.6221 0.6099 0.9041
Cl: 0.7175 0.7594 0.3920
Cl: 0.7510 0.7831 0.1062
Cl: 0.7594 0.3920 0.7175
Cl: 0.7720 0.0678 0.0538
Cl: 0.7831 0.1062 0.7510
Cl: 0.7876 0.3984 0.4575
Cl: 0.8768 0.8837 0.5916
Cl: 0.8837 0.5916 0.8768
Cl: 0.8938 0.2490 0.2169
Cl: 0.9041 0.6221 0.6099
Cl: 0.9322 0.9462 0.2280
Cl: 0.9462 0.2280 0.9322

Calculated values
Total moment in Bohr magnetons per cell: 9.00



Most stable: b. Least stable: a.



## a
## ReTe3Cl (GGA-PBE)

Data for crystalline ReTe3Cl at its relaxed geometry.

abc: 5.1240 5.1240 5.1240
angles: 90.00 90.00 90.00
Element x y z (fractional)
Re: 0.0000 0.0000 0.0000
Te: 0.0000 0.5000 0.5000
Te: 0.5000 0.0000 0.5000
Te: 0.5000 0.5000 0.0000
Cl: 0.5000 0.5000 0.5000

Calculated values
Total moment in Bohr magnetons per cell: 0.00



## b
## ReTe3Cl (GGA-PBE)

Data for crystalline ReTe3Cl at its relaxed geometry.

abc: 5.2472 5.2472 5.2472
angles: 90.00 90.00 90.00
Element x y z (fractional)
Re: 0.0000 0.0000 0.0000
Te: 0.0000 0.0000 0.5000
Te: 0.0000 0.5000 0.0000
Te: 0.5000 0.0000 0.0000
Cl: 0.5000 0.5000 0.5000

Calculated values
Total moment in Bohr magnetons per cell: 0.00



Most stable: b. Least stable: a.



## a
## TiReCl3 (GGA-PBE)

Data for crystalline TiReCl3 at its relaxed geometry.

abc: 4.8997 4.8997 4.8997
angles: 90.00 90.00 90.00
Element x y z (fractional)
Ti: 0.0000 0.0000 0.0000
Re: 0.5000 0.5000 0.5000
Cl: 0.0000 0.0000 0.5000
Cl: 0.0000 0.5000 0.0000
Cl: 0.5000 0.0000 0.0000

Calculated values
Total moment in Bohr magnetons per cell: 5.76



## b
## TiReCl3 (GGA-PBE)

Data for crystalline TiReCl3 at its relaxed geometry.

abc: 4.7974 4.7974 4.7974
angles: 90.00 90.00 90.00
Element x y z (fractional)
Ti: 0.0000 0.0000 0.0000
Re: 0.5000 0.5000 0.5000
Cl: 0.0000 0.5000 0.5000
Cl: 0.5000 0.0000 0.5000
Cl: 0.5000 0.5000 0.0000

Calculated values
Total moment in Bohr magnetons per cell: 1.89



Most stable: a. Least stable: b.



## a
## TiRe3Cl (GGA-PBE)

Data for crystalline TiRe3Cl at its relaxed geometry.

abc: 4.3482 4.3482 4.3482
angles: 90.00 90.00 90.00
Element x y z (fractional)
Ti: 0.0000 0.0000 0.0000
Re: 0.0000 0.5000 0.5000
Re: 0.5000 0.0000 0.5000
Re: 0.5000 0.5000 0.0000
Cl: 0.5000 0.5000 0.5000

Calculated values
Total moment in Bohr magnetons per cell: 0.00



## b
## TiRe3Cl (GGA-PBE)

Data for crystalline TiRe3Cl at its relaxed geometry.

abc: 4.6713 4.6713 4.6713
angles: 90.00 90.00 90.00
Element x y z (fractional)
Ti: 0.0000 0.0000 0.0000
Re: 0.0000 0.0000 0.5000
Re: 0.0000 0.5000 0.0000
Re: 0.5000 0.0000 0.0000
Cl: 0.5000 0.5000 0.5000

Calculated values
Total moment in Bohr magnetons per cell: 3.34



Most stable: a. Least stable: b.



## a
## TlReCl3 (GGA-PBE)

Data for crystalline TlReCl3 at its relaxed geometry.

abc: 5.4846 5.4846 5.4846
angles: 90.00 90.00 90.00
Element x y z (fractional)
Tl: 0.0000 0.0000 0.0000
Re: 0.5000 0.5000 0.5000
Cl: 0.0000 0.0000 0.5000
Cl: 0.0000 0.5000 0.0000
Cl: 0.5000 0.0000 0.0000

Calculated values
Total moment in Bohr magnetons per cell: 6.00



## b
## TlReCl3 (GGA-PBE)

Data for crystalline TlReCl3 at its relaxed geometry.

abc: 8.6704 8.6704 8.7915
angles: 106.87 106.87 22.41
Element x y z (fractional)
Tl: 0.0898 0.0898 0.3696
Tl: 0.9102 0.9102 0.6304
Re: 0.2925 0.2925 0.0830
Re: 0.7075 0.7075 0.9170
Cl: 0.1053 0.1053 0.9905
Cl: 0.2488 0.2488 0.7077
Cl: 0.4205 0.4205 0.3330
Cl: 0.5795 0.5795 0.6670
Cl: 0.7512 0.7512 0.2923
Cl: 0.8947 0.8947 0.0095

Calculated values
Total moment in Bohr magnetons per cell: 0.00



Most stable: b. Least stable: a.



## a
## TlReCl4 (GGA-PBE)

Data for crystalline TlReCl4 at its relaxed geometry.

abc: 7.3043 8.1318 8.1988
angles: 109.47 100.93 112.10
Element x y z (fractional)
Tl: 0.2398 0.4024 0.1697
Tl: 0.7602 0.5976 0.8303
Re: 0.1690 0.0560 0.5110
Re: 0.8310 0.9440 0.4890
Cl: 0.1530 0.9969 0.2074
Cl: 0.2218 0.7820 0.4658
Cl: 0.2752 0.3887 0.5720
Cl: 0.3633 0.1806 0.8268
Cl: 0.6367 0.8194 0.1732
Cl: 0.7248 0.6113 0.4280
Cl: 0.7782 0.2180 0.5342
Cl: 0.8470 0.0031 0.7926

Calculated values
Total moment in Bohr magnetons per cell: 0.00



## b
## TlReCl4 (GGA-PBE)

Data for crystalline TlReCl4 at its relaxed geometry.

abc: 6.1049 6.1049 6.1049
angles: 60.00 60.00 60.00
Element x y z (fractional)
Tl: 0.0000 0.0000 0.0000
Re: 0.7500 0.7500 0.7500
Cl: 0.3760 0.3760 0.3760
Cl: 0.3760 0.3760 0.8719
Cl: 0.3760 0.8719 0.3760
Cl: 0.8719 0.3760 0.3760

Calculated values
Total moment in Bohr magnetons per cell: 3.98



Most stable: a. Least stable: b.